[1]
A plane-wave DFT calculation with PBE-GGA was carried out for crystalline BaInP4 at its relaxed geometry.

The value obtained for the uncorrected energy is -26.754 eV/cell. The space group is No. 216. The value obtained for the density of states at the Fermi level is 5.2 states/eV/cell. The value obtained for the formation energy is -7.3 kJ/mol of atoms.

abc: 5.804 5.804 5.804
angles: 60.00 60.00 60.00
Positions (direct):
Ba 0.000 0.000 0.000
In 0.750 0.750 0.750
P 0.399 0.399 0.399
P 0.399 0.399 0.804
P 0.399 0.804 0.399
P 0.804 0.399 0.399

[2]
A plane-wave DFT calculation with PBE-GGA was carried out for crystalline Ba2InP2 at its relaxed geometry.

The value obtained for the uncorrected energy is -42.595 eV/cell. The space group is No. 36. The value obtained for the density of states at the Fermi level is 3.3 states/eV/cell. Its energy above the most stable polymorph in this dataset is 0.000 kcal/mol of atoms. The value obtained for the formation energy is -75.1 kJ/mol of atoms.

abc: 8.629 8.629 8.988
angles: 90.00 90.00 150.57
Positions (direct):
Ba 0.046 0.954 0.500
Ba 0.192 0.808 0.872
Ba 0.808 0.192 0.372
Ba 0.954 0.046 0.000
In 0.403 0.597 0.665
In 0.597 0.403 0.165
P 0.182 0.818 0.241
P 0.455 0.545 0.290
P 0.545 0.455 0.790
P 0.818 0.182 0.741

[3]
A plane-wave DFT calculation with PBE-GGA was carried out for crystalline BaIn2P2 at its relaxed geometry.

The value obtained for the uncorrected energy is -20.356 eV/cell. The space group is No. 139. The value obtained for the density of states at the Fermi level is 1.4 states/eV/cell. The value obtained for the formation energy is -41.2 kJ/mol of atoms.

abc: 6.152 6.152 6.152
angles: 131.02 131.02 71.78
Positions (direct):
Ba 0.000 0.000 0.000
In 0.354 0.354 0.000
In 0.646 0.646 0.000
P 0.250 0.750 0.500
P 0.750 0.250 0.500

[4]
A plane-wave DFT calculation with PBE-GGA was carried out for crystalline Ba2In5P5 at its relaxed geometry.

The value obtained for the uncorrected energy is -202.514 eV/cell. The space group is No. 62. The value obtained for the density of states at the Fermi level is 0.2 states/eV/cell. The value obtained for the formation energy is -48.6 kJ/mol of atoms.

abc: 17.522 4.217 17.699
angles: 90.00 90.00 90.00
Positions (direct):
Ba 0.020 0.250 0.121
Ba 0.042 0.250 0.628
Ba 0.458 0.750 0.128
Ba 0.480 0.750 0.621
Ba 0.520 0.250 0.379
Ba 0.542 0.250 0.872
Ba 0.958 0.750 0.372
Ba 0.980 0.750 0.879
In 0.157 0.250 0.308
In 0.170 0.750 0.471
In 0.171 0.250 0.940
In 0.186 0.750 0.776
In 0.211 0.750 0.125
In 0.289 0.250 0.625
In 0.314 0.250 0.276
In 0.329 0.750 0.440
In 0.330 0.250 0.971
In 0.343 0.750 0.808
In 0.657 0.250 0.192
In 0.670 0.750 0.029
In 0.671 0.250 0.560
In 0.686 0.750 0.724
In 0.711 0.750 0.375
In 0.789 0.250 0.875
In 0.814 0.250 0.224
In 0.829 0.750 0.060
In 0.830 0.250 0.529
In 0.843 0.750 0.692
P 0.084 0.250 0.439
P 0.104 0.250 0.808
P 0.109 0.750 0.233
P 0.115 0.750 0.011
P 0.196 0.750 0.624
P 0.304 0.250 0.124
P 0.385 0.250 0.511
P 0.391 0.250 0.733
P 0.396 0.750 0.308
P 0.416 0.750 0.939
P 0.584 0.250 0.061
P 0.604 0.250 0.692
P 0.609 0.750 0.267
P 0.615 0.750 0.489
P 0.696 0.750 0.876
P 0.804 0.250 0.376
P 0.885 0.250 0.989
P 0.891 0.250 0.767
P 0.896 0.750 0.192
P 0.916 0.750 0.561

[5]
A plane-wave DFT calculation with PBE-GGA was carried out for crystalline Ba3In2P4 at its relaxed geometry.

The value obtained for the uncorrected energy is -77.472 eV/cell. The space group is No. 15. The value obtained for the density of states at the Fermi level is 0.1 states/eV/cell. Its energy above the most stable polymorph in this dataset is 3.248 kcal/mol of atoms. The value obtained for the formation energy is -62.7 kJ/mol of atoms.

abc: 9.278 9.278 8.342
angles: 91.48 91.48 55.68
Positions (direct):
Ba 0.031 0.969 0.750
Ba 0.275 0.472 0.123
Ba 0.472 0.275 0.623
Ba 0.528 0.725 0.377
Ba 0.725 0.528 0.877
Ba 0.969 0.031 0.250
In 0.065 0.287 0.526
In 0.287 0.065 0.026
In 0.713 0.935 0.974
In 0.935 0.713 0.474
P 0.153 0.307 0.823
P 0.220 0.677 0.479
P 0.307 0.153 0.323
P 0.323 0.780 0.021
P 0.677 0.220 0.979
P 0.693 0.847 0.677
P 0.780 0.323 0.521
P 0.847 0.693 0.177

[6]
A plane-wave DFT calculation with PBE-GGA was carried out for crystalline Ba3In2P2Pd4 at its relaxed geometry.

The value obtained for the uncorrected energy is -50.309 eV/cell. The space group is No. 164. The value obtained for the density of states at the Fermi level is 6.1 states/eV/cell. The value obtained for the formation energy is -65.6 kJ/mol of atoms.

abc: 4.387 4.387 17.386
angles: 90.00 90.00 120.00
Positions (direct):
Ba 0.000 0.000 0.000
Ba 0.000 0.000 0.258
Ba 0.000 0.000 0.742
In 0.333 0.667 0.560
In 0.667 0.333 0.440
P 0.333 0.667 0.135
P 0.667 0.333 0.865
Pd 0.333 0.667 0.397
Pd 0.333 0.667 0.868
Pd 0.667 0.333 0.132
Pd 0.667 0.333 0.603

[7]
A plane-wave DFT calculation with PBE-GGA was carried out for crystalline BaPu2InP4 at its relaxed geometry.

The value obtained for the uncorrected energy is -122.865 eV/cell. The space group is No. 63. The value obtained for the density of states at the Fermi level is 38.4 states/eV/cell. The value obtained for the formation energy is -78.0 kJ/mol of atoms.

abc: 7.333 7.333 13.897
angles: 90.00 90.00 146.93
Positions (direct):
Ba 0.119 0.881 0.750
Ba 0.881 0.119 0.250
Pu 0.373 0.627 0.554
Pu 0.373 0.627 0.946
Pu 0.627 0.373 0.054
Pu 0.627 0.373 0.446
In 0.154 0.846 0.250
In 0.846 0.154 0.750
P 0.000 0.000 0.000
P 0.000 0.000 0.500
P 0.257 0.743 0.103
P 0.257 0.743 0.397
P 0.450 0.550 0.750
P 0.550 0.450 0.250
P 0.743 0.257 0.603
P 0.743 0.257 0.897

[8]
A plane-wave DFT calculation with PBE-GGA was carried out for crystalline BaInPRu at its relaxed geometry.

The value obtained for the uncorrected energy is -44.101 eV/cell. The space group is No. 129. The value obtained for the density of states at the Fermi level is 3.3 states/eV/cell. The value obtained for the formation energy is -65.2 kJ/mol of atoms.

abc: 4.136 4.136 12.225
angles: 90.00 90.00 90.00
Positions (direct):
Ba 0.250 0.250 0.232
Ba 0.750 0.750 0.768
In 0.250 0.750 0.500
In 0.750 0.250 0.500
P 0.250 0.250 0.907
P 0.750 0.750 0.093
Ru 0.250 0.750 0.000
Ru 0.750 0.250 0.000

[9]
A plane-wave DFT calculation with PBE-GGA was carried out for crystalline BaIn3P4S12 at its relaxed geometry.

The value obtained for the uncorrected energy is -87.756 eV/cell. The space group is No. 155. The value obtained for the density of states at the Fermi level is 6.2 states/eV/cell.

abc: 8.778 8.778 8.778
angles: 98.53 98.53 98.53
Positions (direct):
Ba 0.000 0.000 0.000
In 0.000 0.525 0.475
In 0.475 0.000 0.525
In 0.525 0.475 0.000
P 0.040 0.500 0.960
P 0.500 0.500 0.500
P 0.500 0.960 0.040
P 0.960 0.040 0.500
S 0.065 0.663 0.826
S 0.108 0.892 0.500
S 0.174 0.337 0.935
S 0.337 0.935 0.174
S 0.352 0.648 0.500
S 0.500 0.108 0.892
S 0.500 0.352 0.648
S 0.648 0.500 0.352
S 0.663 0.826 0.065
S 0.826 0.065 0.663
S 0.892 0.500 0.108
S 0.935 0.174 0.337

[10]
A plane-wave DFT calculation with PBE-GGA was carried out for crystalline BaInPS2 at its relaxed geometry.

The value obtained for the uncorrected energy is -16.080 eV/cell. The space group is No. 123. The value obtained for the density of states at the Fermi level is 5.0 states/eV/cell. Its energy above the most stable polymorph in this dataset is 21.147 kcal/mol of atoms.

abc: 6.049 6.049 6.309
angles: 90.00 90.00 90.00
Positions (direct):
Ba 0.000 0.000 0.000
In 0.500 0.500 0.500
P 0.000 0.000 0.500
S 0.000 0.500 0.000
S 0.500 0.000 0.000

[11]
A plane-wave DFT calculation with PBE-GGA was carried out for crystalline BaInP2S at its relaxed geometry.

The value obtained for the uncorrected energy is -15.465 eV/cell. The space group is No. 123. The value obtained for the density of states at the Fermi level is 4.6 states/eV/cell. Its energy above the most stable polymorph in this dataset is 21.659 kcal/mol of atoms.

abc: 6.126 6.126 5.812
angles: 90.00 90.00 90.00
Positions (direct):
Ba 0.000 0.000 0.000
In 0.500 0.500 0.500
P 0.000 0.500 0.000
P 0.500 0.000 0.000
S 0.000 0.000 0.500

[12]
A plane-wave DFT calculation with PBE-GGA was carried out for crystalline BaInPS6 at its relaxed geometry.

The value obtained for the uncorrected energy is -38.127 eV/cell. The space group is No. 149. The value obtained for the density of states at the Fermi level is 7.1 states/eV/cell.

abc: 6.339 6.339 6.883
angles: 90.00 90.00 120.00
Positions (direct):
Ba 0.000 0.000 0.000
In 0.333 0.667 0.500
P 0.667 0.333 0.500
S 0.404 0.047 0.701
S 0.404 0.357 0.299
S 0.643 0.047 0.299
S 0.643 0.596 0.701
S 0.953 0.357 0.701
S 0.953 0.596 0.299

[13]
A plane-wave DFT calculation with PBE-GGA was carried out for crystalline BaInP2S at its relaxed geometry.

The value obtained for the uncorrected energy is -20.161 eV/cell. The space group is No. 123. The value obtained for the density of states at the Fermi level is 5.1 states/eV/cell. Its energy above the most stable polymorph in this dataset is 0.000 kcal/mol of atoms.

abc: 5.074 5.074 5.301
angles: 90.00 90.00 90.00
Positions (direct):
Ba 0.000 0.000 0.000
In 0.500 0.500 0.500
P 0.000 0.500 0.500
P 0.500 0.000 0.500
S 0.500 0.500 0.000

[14]
A plane-wave DFT calculation with PBE-GGA was carried out for crystalline BaInP2S8 at its relaxed geometry.

The value obtained for the uncorrected energy is -54.995 eV/cell. The space group is No. 147. The value obtained for the density of states at the Fermi level is 14.4 states/eV/cell.

abc: 6.015 6.015 9.193
angles: 90.00 90.00 120.00
Positions (direct):
Ba 0.000 0.000 0.000
In 0.000 0.000 0.500
P 0.333 0.667 0.746
P 0.667 0.333 0.254
S 0.000 0.339 0.686
S 0.000 0.661 0.314
S 0.333 0.667 0.967
S 0.339 0.000 0.686
S 0.339 0.339 0.314
S 0.661 0.000 0.314
S 0.661 0.661 0.686
S 0.667 0.333 0.033

[15]
A plane-wave DFT calculation with PBE-GGA was carried out for crystalline BaInPS2 at its relaxed geometry.

The value obtained for the uncorrected energy is -20.665 eV/cell. The space group is No. 123. The value obtained for the density of states at the Fermi level is 3.6 states/eV/cell. Its energy above the most stable polymorph in this dataset is 0.000 kcal/mol of atoms.

abc: 5.210 5.210 5.014
angles: 90.00 90.00 90.00
Positions (direct):
Ba 0.000 0.000 0.000
In 0.500 0.500 0.500
P 0.500 0.500 0.000
S 0.000 0.500 0.500
S 0.500 0.000 0.500

[16]
A plane-wave DFT calculation with PBE-GGA was carried out for crystalline Ba2In2Sb2P at its relaxed geometry.

The value obtained for the uncorrected energy is -27.118 eV/cell. The space group is No. 2. The value obtained for the density of states at the Fermi level is 2.2 states/eV/cell.

abc: 4.309 6.930 8.664
angles: 110.29 90.03 107.87
Positions (direct):
Ba 0.005 0.009 0.267
Ba 0.995 0.991 0.733
In 0.284 0.573 0.889
In 0.716 0.427 0.111
Sb 0.300 0.575 0.394
Sb 0.700 0.425 0.606
P 0.500 0.000 0.000

[17]
A plane-wave DFT calculation with PBE-GGA was carried out for crystalline Ba2In2Sn2P at its relaxed geometry.

The value obtained for the uncorrected energy is -26.322 eV/cell. The space group is No. 12. The value obtained for the density of states at the Fermi level is 1.8 states/eV/cell. The value obtained for the formation energy is -49.4 kJ/mol of atoms.

abc: 6.953 6.953 8.402
angles: 106.93 106.93 36.37
Positions (direct):
Ba 0.002 0.002 0.232
Ba 0.998 0.998 0.768
In 0.291 0.291 0.375
In 0.709 0.709 0.625
Sn 0.299 0.299 0.925
Sn 0.701 0.701 0.075
P 0.500 0.500 0.500

[18]
A plane-wave DFT calculation with PBE-GGA was carried out for crystalline BaSr2InP at its relaxed geometry.

The value obtained for the uncorrected energy is -16.181 eV/cell. The space group is No. 123. The value obtained for the density of states at the Fermi level is 5.1 states/eV/cell. The value obtained for the formation energy is -53.0 kJ/mol of atoms.

abc: 5.842 5.842 6.256
angles: 90.00 90.00 90.00
Positions (direct):
Ba 0.000 0.000 0.000
Sr 0.000 0.500 0.500
Sr 0.500 0.000 0.500
In 0.500 0.500 0.000
P 0.000 0.000 0.500

[19]
A plane-wave DFT calculation with PBE-GGA was carried out for crystalline BaVInP2 at its relaxed geometry.

The value obtained for the uncorrected energy is -17.774 eV/cell. The space group is No. 123. The value obtained for the density of states at the Fermi level is 9.2 states/eV/cell. The value obtained for the formation energy is 131.7 kJ/mol of atoms.

abc: 5.102 5.102 6.055
angles: 90.00 90.00 90.00
Positions (direct):
Ba 0.000 0.000 0.000
V 0.500 0.500 0.000
In 0.000 0.000 0.500
P 0.000 0.500 0.500
P 0.500 0.000 0.500

[20]
A plane-wave DFT calculation with PBE-GGA was carried out for crystalline BaPa2InS8 at its relaxed geometry.

The value obtained for the uncorrected energy is -71.189 eV/cell. The space group is No. 10. The value obtained for the density of states at the Fermi level is 7.5 states/eV/cell.

abc: 6.411 8.475 6.444
angles: 90.00 93.58 90.00
Positions (direct):
Ba 0.000 0.000 0.000
Pa 0.500 0.254 0.500
Pa 0.500 0.746 0.500
In 0.000 0.500 0.000
S 0.190 0.288 0.228
S 0.190 0.712 0.228
S 0.330 0.500 0.696
S 0.354 0.000 0.691
S 0.646 0.000 0.309
S 0.670 0.500 0.304
S 0.810 0.288 0.772
S 0.810 0.712 0.772

[21]
A plane-wave DFT calculation with PBE-GGA was carried out for crystalline Ba2PaInSe6 at its relaxed geometry.

The value obtained for the uncorrected energy is -102.852 eV/cell. The space group is No. 14.

abc: 7.429 7.785 12.975
angles: 90.00 124.34 90.00
Positions (direct):
Ba 0.224 0.075 0.247
Ba 0.224 0.425 0.747
Ba 0.776 0.575 0.253
Ba 0.776 0.925 0.753
Pa 0.500 0.000 0.000
Pa 0.500 0.500 0.500
In 0.000 0.000 0.500
In 0.000 0.500 0.000
Se 0.155 0.198 0.957
Se 0.155 0.302 0.457
Se 0.261 0.700 0.956
Se 0.261 0.800 0.456
Se 0.337 0.012 0.750
Se 0.337 0.488 0.250
Se 0.663 0.512 0.750
Se 0.663 0.988 0.250
Se 0.739 0.200 0.544
Se 0.739 0.300 0.044
Se 0.845 0.698 0.543
Se 0.845 0.802 0.043